First-principles (PBE with a Hubbard U) data for a geometry-optimized Co2Ni2PdO6 structure, as listed in Alexandria via LeMat-Bulk.

Lattice parameters (Å, degrees): 5.202 5.202 5.215 99.91 99.91 118.82
Last column: magnetic moment on the atom in μB.
Fractional coordinates of all 11 atoms:
Co 0.826 0.174 0.000  2.72
Co 0.174 0.826 0.000  2.72
Ni 0.341 0.659 0.500  1.77
Ni 0.659 0.341 0.500  1.77
Pd 0.000 0.000 0.500  0.09
O 0.766 0.766 0.737  0.12
O 0.047 0.395 0.735  0.13
O 0.234 0.234 0.263  0.12
O 0.395 0.047 0.735  0.13
O 0.953 0.605 0.265  0.13
O 0.605 0.953 0.265  0.13

Results
Theoretical density = 6.25 g cm⁻³
E_tot = -0.3959 Ry/atom
M_tot = 0.91 μB per atom
Space-group type = C2/m, No. 12